Density functional theory data (PBE) for Tb4AuSe2Br after structural relaxation.

Properties
Size of the total moment = 0.000 μB/atom
DOS(E_F) = 2.6 states/eV per cell
Raw total energy = -5.16 eV per atom

The structure in POSCAR format:
```
Tb4AuSe2Br
1.0
7.278 0.000 0.000
0.000 3.993 0.000
-2.200 0.000 6.992
Tb Au Se Br
4 1 2 1
direct
0.229 0.000 0.233
0.238 0.500 0.747
0.762 0.500 0.253
0.771 0.000 0.767
0.000 0.000 0.500
0.000 0.500 0.000
0.500 0.000 0.000
0.500 0.500 0.500
```

***

Density functional theory data (PBE) for TcAuSe2Br after structural relaxation.

Properties
Size of the total moment = 0.000 μB/atom
DOS(E_F) = 3.5 states/eV per cell
Raw total energy = -3.99 eV per atom

The structure in POSCAR format:
```
TcAuSe2Br
1.0
4.757 0.000 0.000
0.000 4.757 0.000
0.000 0.000 5.440
Tc Au Se Br
1 1 2 1
direct
0.000 0.000 0.000
0.500 0.500 0.500
0.000 0.500 0.000
0.500 0.000 0.000
0.000 0.000 0.500
```

***

Density functional theory data (PBE) for TcAuSeBr2 after structural relaxation.

Properties
Size of the total moment = 0.195 μB/atom
DOS(E_F) = 4.4 states/eV per cell
Raw total energy = -3.64 eV per atom

The structure in POSCAR format:
```
TcAuSeBr2
1.0
5.217 0.000 0.000
0.000 5.217 0.000
0.000 0.000 4.703
Tc Au Se Br
1 1 1 2
direct
0.000 0.000 0.000
0.500 0.500 0.500
0.000 0.000 0.500
0.000 0.500 0.000
0.500 0.000 0.000
```

***

Density functional theory data (PBE) for TeAuSe2Br after structural relaxation.

Properties
Size of the total moment = 0.000 μB/atom
DOS(E_F) = 4.0 states/eV per cell
Raw total energy = -2.55 eV per atom

The structure in POSCAR format:
```
TeAuSe2Br
1.0
5.174 0.000 0.000
0.000 5.174 0.000
0.000 0.000 5.052
Te Au Se Br
1 1 2 1
direct
0.000 0.000 0.000
0.500 0.500 0.500
0.000 0.500 0.500
0.500 0.000 0.500
0.500 0.500 0.000
```

***

Copy entry 4 word for word.
Density functional theory data (PBE) for TeAuSe2Br after structural relaxation.

Properties
Size of the total moment = 0.000 μB/atom
DOS(E_F) = 4.0 states/eV per cell
Raw total energy = -2.55 eV per atom

The structure in POSCAR format:
```
TeAuSe2Br
1.0
5.174 0.000 0.000
0.000 5.174 0.000
0.000 0.000 5.052
Te Au Se Br
1 1 2 1
direct
0.000 0.000 0.000
0.500 0.500 0.500
0.000 0.500 0.500
0.500 0.000 0.500
0.500 0.500 0.000
```